A plane-wave DFT calculation with PBE with a Hubbard U was carried out for crystalline MnNi3O at its relaxed geometry.

## Properties
Theoretical density ... 4.29 g cm⁻³
Total energy ... -11.2 eV for the cell shown
Offset from the most stable computed form ... 6.79 eV/f.u.

Cell: 4.5744 4.5744 4.5744 Å, 90.00 90.00 90.00°
Last column: nearest neighbours and their distance in Å.
Sites, in units of the cell vectors:
1 Mn 0.0000 0.0000 0.0000  6 Ni 2.29
2 Ni 0.0000 0.0000 0.5000  2 Mn 2.29
3 Ni 0.0000 0.5000 0.0000  2 Mn 2.29
4 Ni 0.5000 0.0000 0.0000  2 Mn 2.29
5 O 0.5000 0.5000 0.5000  12 Ni 3.23